Record 1
Computed, not measured: crystalline Pr4ZnSi3 at its relaxed geometry at the PBE level of DFT.

The structure in POSCAR format:
```
Pr4ZnSi3
1.0
4.432 0.000 0.000
0.000 4.047 0.000
0.000 0.000 11.288
Si Pr Zn
3 4 1
direct
0.000 0.000 0.435
0.500 0.000 0.928
0.000 0.500 0.570
0.000 0.500 0.856
0.500 0.500 0.362
0.500 0.000 0.641
0.000 0.000 0.143
0.500 0.500 0.065
```

Its space group is Pmm2. The calculation puts the formation energy (no corrections) at -615 meV per atom. As for the calculated volume: 25.31 A^3/atom. The crystal system is orthorhombic.

***

Record 2
Computed, not measured: crystalline Pr2DyPu3Se6 at its relaxed geometry at the PBE level of DFT.

The structure in POSCAR format:
```
Pr2DyPu3Se6
1.0
-1.820 -3.671 -0.761
6.748 -3.955 2.939
-4.224 2.840 7.811
Se Pr Dy Pu
6 2 1 3
direct
0.997 0.244 0.994
0.665 0.076 0.329
0.335 0.924 0.671
0.665 0.591 0.330
0.335 0.409 0.670
0.003 0.756 0.006
0.834 0.664 0.668
0.166 0.336 0.332
0.500 0.000 0.000
0.500 0.500 0.000
0.169 0.835 0.338
0.831 0.165 0.662
```

Its space group is C2/m. The calculation puts the formation energy (no corrections) at -1684 meV per atom. As for the calculated volume: 25.72 A^3/atom. The crystal system is monoclinic.

***

Record 3
Computed, not measured: crystalline Hf2FeSb at its relaxed geometry at the PBE level of DFT.

The structure in POSCAR format:
```
Hf2FeSb
1.0
3.437 0.000 0.000
1.719 2.977 0.000
1.719 0.992 7.919
Hf Sb Fe
2 1 1
direct
0.267 0.267 0.199
0.733 0.733 0.801
0.500 0.500 0.500
0.000 0.000 0.000
```

Its space group is R-3m. The calculation puts the formation energy (no corrections) at -86 meV per atom. As for the calculated volume: 20.25 A^3/atom. The crystal system is trigonal.

***

Record 4
Computed, not measured: crystalline LaSn2RhC at its relaxed geometry at the PBE level of DFT.

The structure in POSCAR format:
```
LaSn2RhC
1.0
-0.693 5.472 -2.241
-3.692 -1.128 -1.613
-2.714 1.710 5.016
La Rh Sn C
1 1 2 1
direct
0.000 0.000 0.000
0.500 0.500 0.500
0.000 0.000 0.500
0.500 0.000 0.000
0.000 0.500 0.000
```

Its space group is P4/mmm. Its formation energy is 8.5 eV/f.u. As for the calculated volume: 29.67 A^3/atom. The crystal system is tetragonal.

***

Record 5
Computed, not measured: crystalline PrPaAgAu at its relaxed geometry at the PBE level of DFT.

The structure in POSCAR format:
```
PrPaAgAu
1.0
5.214 0.000 0.000
2.607 4.515 0.000
2.607 1.505 4.257
Pa Pr Ag Au
1 1 1 1
direct
0.500 0.500 0.500
0.000 0.000 0.000
0.250 0.250 0.250
0.750 0.750 0.750
```

Its space group is F-43m. Its formation energy is -0.4 eV/f.u. As for the calculated volume: 25.06 A^3/atom. The crystal system is cubic.

***

Record 6
Computed, not measured: crystalline Hf3MgZr8 at its relaxed geometry at the PBE level of DFT.

The structure in POSCAR format:
```
Hf3MgZr8
1.0
7.463 -0.248 -0.394
-3.181 6.755 0.394
-3.181 -2.569 6.260
Zr Hf Mg
8 3 1
direct
0.493 0.769 0.769
0.000 0.594 0.882
0.711 0.118 0.118
0.000 0.724 0.231
0.507 0.276 0.276
0.289 0.406 0.406
0.000 0.882 0.594
0.000 0.231 0.724
0.000 0.500 0.500
0.500 0.250 0.750
0.500 0.750 0.250
0.000 0.000 0.000
```

Its space group is I-42m. Its formation energy is 9.6 eV/f.u. As for the calculated volume: 25.57 A^3/atom. The crystal system is tetragonal.

***

Record 7
Computed, not measured: crystalline LaPrDyEr at its relaxed geometry at the PBE level of DFT.

The structure in POSCAR format:
```
LaPrDyEr
1.0
-4.805 3.209 -0.023
-4.949 -2.193 2.021
-2.201 1.942 4.977
Er La Dy Pr
1 1 1 1
direct
0.500 0.500 0.500
0.250 0.250 0.250
0.000 0.000 0.000
0.750 0.750 0.750
```

Its space group is F-43m. Its formation energy is 0.4 eV/f.u. As for the energy relative to the lowest polymorph listed for this composition: 0.00 kcal/mol of atoms. As for the calculated volume: 34.10 A^3/atom. The crystal system is cubic.

***

Record 8
Computed, not measured: crystalline CuHS2N at its relaxed geometry at the PBE level of DFT.

The structure in POSCAR format:
```
CuHS2N
1.0
4.434 0.000 0.000
0.000 2.716 0.000
0.000 0.000 4.434
S N Cu H
2 1 1 1
direct
0.000 0.000 0.500
0.500 0.000 0.000
0.000 0.000 0.000
0.500 0.500 0.500
0.000 0.500 0.000
```

Its space group is P4/mmm. As for the energy relative to the lowest polymorph listed for this composition: 0.00 kcal/mol of atoms. As for the calculated volume: 10.68 A^3/atom. The crystal system is tetragonal.

***

Record 9
Computed, not measured: crystalline NaAcPtO4 at its relaxed geometry at the PBE level of DFT.

The structure in POSCAR format:
```
NaAcPtO4
1.0
6.156 0.000 0.000
-3.078 6.657 -0.602
0.000 -4.128 6.789
Ac O Pt Na
2 8 2 2
direct
0.500 0.000 0.000
0.500 0.000 0.500
0.612 0.838 0.169
0.266 0.531 0.357
0.388 0.162 0.831
0.226 0.838 0.169
0.734 0.469 0.326
0.266 0.531 0.674
0.734 0.469 0.643
0.774 0.162 0.831
0.500 0.500 0.500
0.000 0.500 0.500
0.789 0.578 0.039
0.211 0.422 0.961
```

Its space group is Imma. The calculation puts the formation energy (no corrections) at -1497 meV per atom. As for the calculated volume: 18.78 A^3/atom. The crystal system is orthorhombic.

***

Record 10
Computed, not measured: crystalline MgNbTe2 at its relaxed geometry at the PBE level of DFT.

The structure in POSCAR format:
```
MgNbTe2
1.0
3.752 -8.501 1.368
6.821 -6.427 0.612
5.399 -6.491 4.114
Mg Te Nb
1 2 1
direct
0.500 0.500 0.500
0.098 0.098 0.098
0.902 0.902 0.902
0.000 0.000 0.000
```

Its space group is R-3m. The calculation puts the formation energy (no corrections) at 332 meV per atom. As for the calculated volume: 28.27 A^3/atom. The crystal system is trigonal.

***

Record 11
Computed, not measured: crystalline Mn2WCl at its relaxed geometry at the PBE level of DFT.

The structure in POSCAR format:
```
Mn2WCl
1.0
-3.009 1.902 -3.079
-2.685 -3.591 -1.432
0.999 1.375 4.390
W Mn Cl
1 2 1
direct
0.250 0.750 0.500
0.000 0.000 0.000
0.500 0.500 0.000
0.750 0.250 0.500
```

Its space group is I4/mmm. The calculation puts the formation energy (no corrections) at 955 meV per atom. As for the energy relative to the lowest polymorph listed for this composition: 17.99 kcal/mol of atoms. As for the calculated volume: 15.38 A^3/atom. The crystal system is tetragonal.

***

Record 12
Computed, not measured: crystalline AcPr4Te5 at its relaxed geometry at the PBE level of DFT.

The structure in POSCAR format:
```
AcPr4Te5
1.0
-1.955 0.960 4.014
2.915 -5.175 5.256
7.327 5.129 4.938
Te Ac Pr
5 1 4
direct
0.201 0.905 0.692
0.607 0.685 0.101
0.393 0.315 0.899
0.799 0.095 0.308
0.000 0.500 0.500
0.000 0.000 0.000
0.596 0.207 0.600
0.200 0.393 0.208
0.800 0.607 0.792
0.404 0.793 0.400
```

Its space group is C2/m. The calculation puts the formation energy (no corrections) at -1450 meV per atom. As for the energy relative to the lowest polymorph listed for this composition: 0.00 kcal/mol of atoms. As for the calculated volume: 33.80 A^3/atom. The crystal system is monoclinic.

***

Record 13
Computed, not measured: crystalline ZnCrP2 at its relaxed geometry at the PBE level of DFT.

The structure in POSCAR format:
```
ZnCrP2
1.0
7.495 -0.281 -0.165
7.020 2.642 -0.165
7.020 1.142 2.388
Cr P Zn
1 2 1
direct
0.740 0.740 0.740
0.258 0.258 0.258
0.003 0.003 0.003
0.499 0.499 0.499
```

Its space group is R3m. Its formation energy is 1.0 eV/f.u. As for the calculated volume: 13.87 A^3/atom. The crystal system is trigonal.

***

Record 14
Computed, not measured: crystalline Re2RuSe at its relaxed geometry at the PBE level of DFT.

The structure in POSCAR format:
```
Re2RuSe
1.0
-0.612 2.866 -5.149
2.805 -4.002 0.017
-1.629 -1.111 -2.086
Re Ru Se
2 1 1
direct
0.000 0.000 0.000
0.500 0.000 0.500
0.000 0.500 0.500
0.500 0.500 0.000
```

Its space group is C2/m. The calculation puts the formation energy (no corrections) at 665 meV per atom. As for the energy relative to the lowest polymorph listed for this composition: 9.61 kcal/mol of atoms. As for the calculated volume: 15.30 A^3/atom. The crystal system is monoclinic.

***

Record 15
Computed, not measured: crystalline Co2MoOs at its relaxed geometry at the PBE level of DFT.

The structure in POSCAR format:
```
Co2MoOs
1.0
4.201 0.000 0.000
0.000 2.643 -0.005
0.000 0.008 4.556
Co Mo Os
2 1 1
direct
0.500 0.125 0.280
0.000 0.125 0.961
0.000 0.625 0.453
0.500 0.625 0.807
```

Its space group is Pmm2. Its formation energy is 0.0 eV/f.u. As for the energy relative to the lowest polymorph listed for this composition: 0.00 kcal/mol of atoms. As for the calculated volume: 12.65 A^3/atom. The crystal system is orthorhombic.

***

Record 16
Computed, not measured: crystalline ScCr2Te at its relaxed geometry at the PBE level of DFT.

The structure in POSCAR format:
```
ScCr2Te
1.0
-4.179 -0.633 -1.620
-0.454 -2.568 2.175
-1.807 2.904 3.526
Cr Te Sc
2 1 1
direct
0.000 0.826 0.059
0.000 0.674 0.441
0.500 0.750 0.750
0.500 0.250 0.250
```

Its space group is P2/m. The calculation puts the formation energy (no corrections) at 231 meV per atom. As for the calculated volume: 18.84 A^3/atom. The crystal system is monoclinic.

***

Record 17
Computed, not measured: crystalline Mg5Cr at its relaxed geometry at the PBE level of DFT.

The structure in POSCAR format:
```
Mg5Cr
1.0
0.431 6.957 -0.995
-4.433 -5.253 1.525
0.801 0.559 4.254
Mg Cr
5 1
direct
0.000 0.000 0.500
0.661 0.339 0.500
0.161 0.839 0.000
0.839 0.161 0.000
0.339 0.661 0.500
0.500 0.500 0.000
```

Its space group is Cmmm. Its formation energy is 1.0 eV/f.u. As for the calculated volume: 21.33 A^3/atom. The crystal system is orthorhombic.

***

Record 18
Computed, not measured: crystalline Tm3InGe3 at its relaxed geometry at the PBE level of DFT.

The structure in POSCAR format:
```
Tm3InGe3
1.0
5.790 0.000 0.000
0.000 8.605 0.000
0.000 -4.302 7.452
In Ge Tm
2 6 6
direct
0.250 0.667 0.333
0.750 0.333 0.667
0.750 0.039 0.691
0.250 0.347 0.039
0.750 0.653 0.961
0.250 0.691 0.653
0.250 0.961 0.309
0.750 0.309 0.347
0.750 0.358 0.049
0.250 0.642 0.951
0.250 0.310 0.358
0.750 0.690 0.642
0.250 0.049 0.690
0.750 0.951 0.310
```

Its space group is P6_3/m. Its formation energy is -3.5 eV/f.u. As for the calculated volume: 26.52 A^3/atom. The crystal system is hexagonal.

***

Record 19
Computed, not measured: crystalline PrSiOs at its relaxed geometry at the PBE level of DFT.

The structure in POSCAR format:
```
PrSiOs
1.0
-1.910 4.012 5.626
5.863 -4.073 0.655
1.086 4.135 -5.028
Si Os Pr
4 4 4
direct
0.090 0.910 0.500
0.840 0.160 0.000
0.160 0.840 0.000
0.410 0.590 0.500
0.385 0.885 0.770
0.115 0.615 0.230
0.865 0.865 0.730
0.135 0.135 0.270
0.125 0.375 0.750
0.625 0.375 0.750
0.625 0.375 0.250
0.625 0.875 0.250
```

Its space group is Fddd. The calculation puts the formation energy (no corrections) at -319 meV per atom. As for the calculated volume: 20.71 A^3/atom. The crystal system is orthorhombic.

***

Record 20
Computed, not measured: crystalline LuNbTcRh at its relaxed geometry at the PBE level of DFT.

The structure in POSCAR format:
```
LuNbTcRh
1.0
4.611 0.000 0.000
2.305 3.993 0.000
2.305 1.331 3.765
Rh Nb Lu Tc
1 1 1 1
direct
0.750 0.750 0.750
0.000 0.000 0.000
0.500 0.500 0.500
0.250 0.250 0.250
```

Its space group is F-43m. Its formation energy is -1.7 eV/f.u. As for the calculated volume: 17.33 A^3/atom. The crystal system is cubic.

***

Record 21
Computed, not measured: crystalline Pm2Si4MoPt3 at its relaxed geometry at the PBE level of DFT.

The structure in POSCAR format:
```
Pm2Si4MoPt3
1.0
4.249 0.000 0.000
0.000 4.249 0.000
0.000 0.000 9.980
Si Pt Mo Pm
4 3 1 2
direct
0.000 0.000 0.000
0.500 0.000 0.631
0.500 0.500 0.000
0.000 0.500 0.369
0.000 0.500 0.121
0.000 0.000 0.500
0.500 0.000 0.879
0.500 0.500 0.500
0.000 0.500 0.758
0.500 0.000 0.242
```

Its space group is P-4m2. The calculation puts the formation energy (no corrections) at -969 meV per atom. As for the calculated volume: 18.02 A^3/atom. The crystal system is tetragonal.

***

Record 22
Computed, not measured: crystalline Te2PNCl at its relaxed geometry at the PBE level of DFT.

The structure in POSCAR format:
```
Te2PNCl
1.0
-2.480 4.766 1.852
-2.781 -2.985 3.956
2.459 0.470 2.083
Cl Te P N
1 2 1 1
direct
0.500 0.500 0.500
0.500 0.000 0.000
0.000 0.500 0.000
0.000 0.000 0.000
0.000 0.000 0.500
```

Its space group is P4/mmm. The calculation puts the formation energy (no corrections) at 557 meV per atom. As for the energy relative to the lowest polymorph listed for this composition: 0.00 kcal/mol of atoms. As for the calculated volume: 21.04 A^3/atom. The crystal system is tetragonal.

***

Record 23
Computed, not measured: crystalline ZrTa2Ag at its relaxed geometry at the PBE level of DFT.

The structure in POSCAR format:
```
ZrTa2Ag
1.0
-0.851 1.084 -5.211
2.200 -3.540 -3.418
-3.116 -0.356 4.384
Ta Ag Zr
2 1 1
direct
0.500 0.500 0.000
0.000 0.000 0.000
0.250 0.750 0.500
0.750 0.250 0.500
```

Its space group is I4/mmm. Its formation energy is 0.9 eV/f.u. As for the energy relative to the lowest polymorph listed for this composition: 2.93 kcal/mol of atoms. As for the calculated volume: 19.23 A^3/atom. The crystal system is tetragonal.

***

Record 24
Computed, not measured: crystalline AcDy3 at its relaxed geometry at the PBE level of DFT.

The structure in POSCAR format:
```
AcDy3
1.0
5.850 0.000 0.000
0.000 6.424 -3.709
0.000 0.000 7.417
Dy Ac
6 2
direct
0.750 0.676 0.838
0.250 0.838 0.162
0.250 0.324 0.162
0.250 0.838 0.676
0.750 0.162 0.838
0.750 0.162 0.324
0.750 0.667 0.333
0.250 0.333 0.667
```

Its space group is P6_3/mmc. Its formation energy is 0.2 eV/f.u. As for the energy relative to the lowest polymorph listed for this composition: 0.00 kcal/mol of atoms. As for the calculated volume: 34.84 A^3/atom. The crystal system is hexagonal.

***

Record 25
Computed, not measured: crystalline Ba3PuSi2O8 at its relaxed geometry at the PBE level of DFT.

The structure in POSCAR format:
```
Ba3PuSi2O8
1.0
-0.642 3.185 -4.925
1.992 -5.545 -0.311
-7.245 -2.563 -0.713
Pu O Ba Si
1 8 3 2
direct
0.000 0.000 0.500
0.182 0.818 0.296
0.637 0.818 0.296
0.818 0.182 0.704
0.818 0.637 0.704
0.333 0.667 0.006
0.182 0.363 0.296
0.667 0.333 0.994
0.363 0.182 0.704
0.667 0.333 0.316
0.000 0.000 0.000
0.333 0.667 0.684
0.333 0.667 0.216
0.667 0.333 0.784
```

Its space group is P-3m1. The calculation puts the formation energy (no corrections) at -2795 meV per atom. As for the calculated volume: 16.62 A^3/atom. The crystal system is trigonal.

***

Record 26
Computed, not measured: crystalline CsHgBiI6 at its relaxed geometry at the PBE level of DFT.

The structure in POSCAR format:
```
CsHgBiI6
1.0
-3.651 -7.119 -0.146
3.992 -6.599 2.132
-2.529 1.121 8.178
I Hg Cs Bi
6 1 1 1
direct
0.005 0.373 0.290
0.373 0.623 0.291
0.005 0.622 0.709
0.623 0.373 0.709
0.622 0.005 0.291
0.373 0.005 0.710
0.333 0.333 0.500
0.000 0.000 0.000
0.666 0.666 0.500
```

Its space group is C2. The calculation puts the formation energy (no corrections) at -617 meV per atom. As for the calculated volume: 53.15 A^3/atom. The crystal system is monoclinic.

***

Computed total moment, in the same sequence as the records: 0.3, 5.6, 0.0, 0.6, 1.6, 0.0, 0.0, 0.0, 3.2, 1.5, 5.1, 0.0, 0.5, 0.0, 0.3, 0.0, 4.0, 0.0, 0.0, 0.0, 0.0, 0.0, 0.0, 0.0, 6.0, 0.0 μB per cell.
Computed DFT total energy, in the same sequence as the records: -41.58, -98.28, -32.84, -20.99, -20.81, -90.23, -18.50, -20.35, -83.56, -16.62, -29.32, -53.43, -20.69, -34.99, -36.28, -27.80, -16.55, -67.01, -89.55, -34.06, -69.83, -19.08, -34.20, -35.44, -109.75, -19.89 eV per cell.